# 1
DFT (GGA-PBE) results for a geometry-optimized Rb7HgCl2O2 structure.

## Properties
Its space-group type is Imm2, No. 44. The crystal system is orthorhombic. The energy relative to the elements, uncorrected comes out at -1.075 eV/atom. The density of states at the Fermi level comes out at 4.4 states/eV/cell.

Cell: 13.412 13.412 13.412 Å, 154.49 37.74 152.65°
Sites, in units of the cell vectors:
Rb  0.000  0.000  0.000
Rb  0.091  0.476  0.616
Rb  0.197  0.983  0.214
Rb  0.397  0.509  0.888
Rb  0.621  0.509  0.112
Rb  0.769  0.983  0.786
Rb  0.860  0.476  0.384
Hg  0.480  0.980  0.500
Cl  0.240  0.482  0.758
Cl  0.725  0.482  0.242
O  0.041  0.933  0.108
O  0.826  0.933  0.892



# 2
DFT (GGA-PBE) results for a geometry-optimized Si2AgHg structure.

## Properties
Its space-group type is R3m, No. 160. The crystal system is trigonal. The energy relative to the elements, uncorrected comes out at 0.333 eV/atom. The density of states at the Fermi level comes out at 1.3 states/eV/cell.

Cell: 8.619 8.619 8.619 Å, 21.17 21.17 21.17°
Sites, in units of the cell vectors:
Si  0.000  0.000  0.000
Si  0.265  0.265  0.265
Ag  0.520  0.520  0.520
Hg  0.759  0.759  0.759



# 3
DFT (GGA-PBE) results for a geometry-optimized NbTl2Re3O12 structure.

## Properties
Its space-group type is R-3m, No. 166. The crystal system is trigonal. The energy relative to the elements, uncorrected comes out at -1.596 eV/atom. The density of states at the Fermi level comes out at 4.9 states/eV/cell.

Cell: 7.407 7.407 7.407 Å, 59.07 59.07 59.07°
Sites, in units of the cell vectors:
Nb  0.000  0.000  0.000
Tl  0.351  0.351  0.351
Tl  0.649  0.649  0.649
Re  0.000  0.000  0.500
Re  0.000  0.500  0.000
Re  0.500  0.000  0.000
O  0.064  0.694  0.694
O  0.068  0.068  0.675
O  0.068  0.675  0.068
O  0.306  0.306  0.936
O  0.306  0.936  0.306
O  0.325  0.932  0.932
O  0.675  0.068  0.068
O  0.694  0.064  0.694
O  0.694  0.694  0.064
O  0.932  0.325  0.932
O  0.932  0.932  0.325
O  0.936  0.306  0.306



# 4
DFT (GGA-PBE) results for a geometry-optimized Y4ScAl2 structure.

## Properties
The calculation puts the formation enthalpy at 0 K at 67 meV per atom. Its space-group type is R-3m, No. 166. The crystal system is trigonal. The value obtained for the offset from the most stable computed form is 0.260 eV per atom. The density of states at the Fermi level comes out at 10.5 states/eV/cell.

Cell: 9.195 9.195 9.195 Å, 33.31 33.31 33.31°
Sites, in units of the cell vectors:
Y  0.123  0.123  0.123
Y  0.280  0.280  0.280
Y  0.720  0.720  0.720
Y  0.877  0.877  0.877
Sc  0.500  0.500  0.500
Al  0.396  0.396  0.396
Al  0.604  0.604  0.604



# 5
DFT (GGA-PBE) results for a geometry-optimized YCoPb2 structure.

## Properties
The calculation puts the formation enthalpy at 0 K at 15 meV per atom. Its space-group type is Amm2, No. 38. The crystal system is orthorhombic. The value obtained for the offset from the most stable computed form is 0.023 eV per atom. The density of states at the Fermi level comes out at 2.7 states/eV/cell.

Cell: 3.600 6.822 6.822 Å, 36.63 90.00 90.00°
Sites, in units of the cell vectors:
Y  0.000  0.000  0.000
Co  0.500  0.455  0.455
Pb  0.000  0.295  0.295
Pb  0.500  0.659  0.659



# 6
DFT (GGA-PBE) results for a geometry-optimized RbMgCd2In structure.

## Properties
The calculation puts the formation enthalpy at 0 K at 124 meV per atom. Its space-group type is P4/mmm, No. 123. The crystal system is tetragonal. The value obtained for the offset from the most stable computed form is 0.000 eV per atom. The density of states at the Fermi level comes out at 2.6 states/eV/cell.

Cell: 5.677 5.677 5.605 Å, 90.00 90.00 90.00°
Sites, in units of the cell vectors:
Rb  0.000  0.000  0.000
Mg  0.500  0.500  0.500
Cd  0.000  0.500  0.500
Cd  0.500  0.000  0.500
In  0.500  0.500  0.000



# 7
DFT (GGA-PBE) results for a geometry-optimized Ho2ReO6 structure.

## Properties
Its space-group type is P2_1/c, No. 14. The crystal system is monoclinic. The energy relative to the elements, uncorrected comes out at -2.650 eV/atom. The density of states at the Fermi level comes out at 8.5 states/eV/cell.

Cell: 5.433 5.687 9.089 Å, 90.00 119.56 90.00°
Sites, in units of the cell vectors:
Ho  0.189  0.084  0.230
Ho  0.189  0.416  0.730
Ho  0.811  0.584  0.270
Ho  0.811  0.916  0.770
Re  0.500  0.000  0.000
Re  0.500  0.500  0.500
O  0.155  0.177  0.947
O  0.155  0.323  0.447
O  0.257  0.731  0.899
O  0.257  0.769  0.399
O  0.452  0.088  0.783
O  0.452  0.412  0.283
O  0.548  0.588  0.717
O  0.548  0.912  0.217
O  0.743  0.231  0.601
O  0.743  0.269  0.101
O  0.845  0.677  0.553
O  0.845  0.823  0.053



# 8
DFT (GGA-PBE) results for a geometry-optimized MnCd2In structure.

## Properties
The calculation puts the formation enthalpy at 0 K at 261 meV per atom. Its space-group type is F-43m, No. 216. The crystal system is cubic. The density of states at the Fermi level comes out at 2.2 states/eV/cell.

Cell: 4.916 4.916 4.916 Å, 60.00 60.00 60.00°
Sites, in units of the cell vectors:
Mn  0.000  0.000  0.000
Cd  0.250  0.250  0.250
Cd  0.500  0.500  0.500
In  0.750  0.750  0.750



# 9
DFT (GGA-PBE) results for a geometry-optimized Mg2GaRe structure.

## Properties
The calculation puts the formation enthalpy at 0 K at 582 meV per atom. Its space-group type is I-42d, No. 122. The crystal system is tetragonal. The density of states at the Fermi level comes out at 0.8 states/eV/cell.

Cell: 5.830 5.830 5.830 Å, 101.72 101.72 126.43°
Sites, in units of the cell vectors:
Mg  0.114  0.625  0.989
Mg  0.375  0.364  0.489
Mg  0.636  0.125  0.011
Mg  0.875  0.886  0.511
Ga  0.000  0.000  0.000
Ga  0.750  0.250  0.500
Re  0.250  0.750  0.500
Re  0.500  0.500  0.000



# 10
DFT (GGA-PBE) results for a geometry-optimized Ta5CrRu4 structure.

## Properties
The calculation puts the formation enthalpy at 0 K at -306 meV per atom. Its space-group type is P4/mmm, No. 123. The crystal system is tetragonal. The density of states at the Fermi level comes out at 7.0 states/eV/cell.

Cell: 3.099 3.099 16.472 Å, 90.00 90.00 90.00°
Sites, in units of the cell vectors:
Ta  0.000  0.000  0.000
Ta  0.000  0.000  0.206
Ta  0.000  0.000  0.409
Ta  0.000  0.000  0.591
Ta  0.000  0.000  0.794
Cr  0.500  0.500  0.500
Ru  0.500  0.500  0.112
Ru  0.500  0.500  0.306
Ru  0.500  0.500  0.694
Ru  0.500  0.500  0.888



# 11
DFT (GGA-PBE) results for a geometry-optimized In3C structure.

## Properties
The calculation puts the formation enthalpy at 0 K at 1306 meV per atom. Its space-group type is Cmmm, No. 65. The crystal system is orthorhombic. The density of states at the Fermi level comes out at 2.2 states/eV/cell.

Cell: 4.183 4.183 4.870 Å, 90.00 90.00 92.65°
Sites, in units of the cell vectors:
In  0.000  0.000  0.000
In  0.000  0.500  0.500
In  0.500  0.000  0.500
C  0.500  0.500  0.000



# 12
DFT (GGA-PBE) results for a geometry-optimized Na17TlHg11 structure.

## Properties
The calculation puts the formation enthalpy at 0 K at -185 meV per atom. Its space-group type is Cm, No. 8. The crystal system is monoclinic. The density of states at the Fermi level comes out at 13.0 states/eV/cell.

Cell: 10.136 10.136 10.103 Å, 109.44 109.44 109.55°
Sites, in units of the cell vectors:
Na  0.000  0.000  0.000
Na  0.001  0.310  0.591
Na  0.001  0.591  0.309
Na  0.004  0.004  0.335
Na  0.283  0.693  0.692
Na  0.309  0.594  0.000
Na  0.310  0.001  0.591
Na  0.333  0.999  0.999
Na  0.411  0.411  0.720
Na  0.411  0.723  0.412
Na  0.591  0.001  0.309
Na  0.594  0.309  0.000
Na  0.669  0.669  0.668
Na  0.693  0.283  0.692
Na  0.696  0.696  0.283
Na  0.723  0.411  0.412
Na  0.999  0.333  0.999
Tl  0.374  0.374  0.182
Hg  0.000  0.806  0.624
Hg  0.001  0.626  0.808
Hg  0.182  0.378  0.380
Hg  0.191  0.191  0.812
Hg  0.194  0.818  0.193
Hg  0.378  0.182  0.380
Hg  0.624  0.806  0.001
Hg  0.626  0.001  0.808
Hg  0.806  0.000  0.624
Hg  0.806  0.624  0.001
Hg  0.818  0.194  0.193